# 1
First-principles (PBE) data for crystalline LiDyAsS4 at its relaxed geometry, as listed in the Alexandria database.

E_tot ... -4.870 eV per atom
Formation energy without anion corrections ... -0.92 eV/atom
Density of states at the Fermi level ... 0.279 states/eV/atom
Size of the total moment ... 0.0 μB/cell
Space-group type ... Imma (74)

Cell lengths 7.619, 7.601, 7.601 Å; angles 61.53, 59.92, 59.92 degrees
Element x y z (fractional)
1 Dy 0.000 0.000 0.000
2 Dy 0.000 0.500 0.500
3 S 0.257 0.742 0.744
4 S 0.256 0.242 0.742
5 S 0.743 0.756 0.758
6 S 0.257 0.244 0.242
7 S 0.743 0.258 0.256
8 S 0.240 0.758 0.258
9 S 0.744 0.758 0.258
10 S 0.760 0.242 0.742
11 As 0.369 0.381 0.881
12 As 0.631 0.619 0.119
13 Li 0.000 0.000 0.500
14 Li 0.500 0.000 0.500

# 2
First-principles (PBE) data for crystalline Li2DyAsS4 at its relaxed geometry, as listed in the Alexandria database.

E_tot ... -4.883 eV per atom
Formation energy without anion corrections ... -1.18 eV/atom
Density of states at the Fermi level ... 0.000 states/eV/atom
Size of the total moment ... 0.0 μB/cell
Space-group type ... P2/m (10)

Cell lengths 3.809, 6.609, 6.520 Å; angles 109.66, 90.00, 90.00 degrees
Element x y z (fractional)
1 Dy 0.500 0.500 0.000
2 S 0.500 0.764 0.757
3 S 0.000 0.238 0.752
4 S 0.000 0.762 0.248
5 S 0.500 0.236 0.243
6 Li 0.500 0.000 0.500
7 Li 0.000 0.500 0.500
8 As 0.000 0.000 0.000

# 3
First-principles (PBE) data for crystalline LiDyTh2As4 at its relaxed geometry, as listed in the Alexandria database.

ΔE_f ... -1.184 eV per atom
E_tot ... -6.178 eV per atom
Density of states at the Fermi level ... 0.297 states/eV/atom
Size of the total moment ... 0.0 μB/cell
Space-group type ... P2/m (10)

Cell lengths 4.252, 7.345, 7.092 Å; angles 109.85, 90.00, 90.00 degrees
Element x y z (fractional)
1 As 0.000 0.249 0.751
2 As 0.500 0.249 0.243
3 As 0.000 0.751 0.249
4 As 0.500 0.751 0.757
5 Th 0.000 0.500 0.500
6 Th 0.500 0.000 0.500
7 Li 0.500 0.500 0.000
8 Dy 0.000 0.000 0.000

# 4
First-principles (PBE) data for crystalline LiDy2UAs4 at its relaxed geometry, as listed in the Alexandria database.

ΔE_f ... -1.001 eV per atom
E_tot ... -6.127 eV per atom
Density of states at the Fermi level ... 0.629 states/eV/atom
Size of the total moment ... 1.0 μB/cell
Space-group type ... P2/m (10)

Cell lengths 4.096, 6.943, 7.063 Å; angles 108.47, 90.00, 90.00 degrees
Last column: magnetic moment on the atom in μB.
Element x y z (fractional)
1 As 0.500 0.752 0.759  -0.04
2 As 0.500 0.248 0.241  -0.04
3 As 0.000 0.242 0.759  -0.06
4 As 0.000 0.758 0.241  -0.06
5 Dy 0.000 0.500 0.500  0.00
6 Dy 0.500 0.000 0.500  -0.04
7 Li 0.500 0.500 0.000  0.00
8 U 0.000 0.000 0.000  1.23

# 5
First-principles (PBE) data for crystalline DyLu2As at its relaxed geometry, as listed in the Alexandria database.

ΔE_f ... -0.327 eV per atom
E_tot ... -4.901 eV per atom
Density of states at the Fermi level ... 0.893 states/eV/atom
Size of the total moment ... 0.9 μB/cell
Space-group type ... R-3m (166)

Cell lengths 3.702, 3.702, 10.443 Å; angles 79.79, 79.79, 60.00 degrees
Last column: magnetic moment on the atom in μB.
Element x y z (fractional)
1 As 0.500 0.500 0.500  0.00
2 Lu 0.889 0.889 0.333  0.07
3 Lu 0.111 0.111 0.667  0.07
4 Dy 0.000 0.000 0.000  0.41

# 6
First-principles (PBE) data for crystalline DyLuAs at its relaxed geometry, as listed in the Alexandria database.

ΔE_f ... -0.537 eV per atom
E_tot ... -5.128 eV per atom
Density of states at the Fermi level ... 1.060 states/eV/atom
Size of the total moment ... 0.0 μB/cell
Space-group type ... P3m1 (156)

Cell lengths 4.158, 4.658, 4.658 Å; angles 120.00, 90.00, 90.00 degrees
Element x y z (fractional)
1 Lu 0.227 0.333 0.667
2 Dy 0.729 0.667 0.333
3 As 0.044 0.000 0.000

# 7
First-principles (PBE) data for crystalline DyLuAs2 at its relaxed geometry, as listed in the Alexandria database.

ΔE_f ... -1.504 eV per atom
E_tot ... -6.110 eV per atom
Density of states at the Fermi level ... 0.129 states/eV/atom
Size of the total moment ... 0.0 μB/cell
Space-group type ... R-3m (166)

Cell lengths 4.078, 4.078, 7.055 Å; angles 73.20, 73.20, 60.00 degrees
Element x y z (fractional)
1 Dy 0.500 0.500 0.500
2 Lu 0.000 0.000 0.000
3 As 0.748 0.748 0.756
4 As 0.252 0.252 0.244

# 8
First-principles (PBE) data for crystalline Dy2MgAs at its relaxed geometry, as listed in the Alexandria database.

ΔE_f ... -0.369 eV per atom
E_tot ... -4.232 eV per atom
Density of states at the Fermi level ... 1.151 states/eV/atom
Size of the total moment ... 0.0 μB/cell
Space-group type ... R-3m (166)

Cell lengths 3.825, 3.825, 10.329 Å; angles 79.33, 79.33, 60.00 degrees
Element x y z (fractional)
1 Mg 0.000 0.000 0.000
2 As 0.500 0.500 0.500
3 Dy 0.110 0.110 0.670
4 Dy 0.890 0.890 0.330

# 9
First-principles (PBE) data for crystalline DyMgAs at its relaxed geometry, as listed in the Alexandria database.

ΔE_f ... -0.594 eV per atom
E_tot ... -4.210 eV per atom
Density of states at the Fermi level ... 0.557 states/eV/atom
Size of the total moment ... 0.0 μB/cell
Space-group type ... R-3m (166)

Cell lengths 4.921, 4.921, 8.491 Å; angles 73.16, 73.16, 60.00 degrees
Element x y z (fractional)
1 Dy 0.601 0.601 0.197
2 Dy 0.399 0.399 0.803
3 Mg 0.829 0.829 0.514
4 Mg 0.171 0.171 0.486
5 As 0.719 0.719 0.842
6 As 0.281 0.281 0.158

# 10
First-principles (PBE) data for crystalline Dy3MgAs4 at its relaxed geometry, as listed in the Alexandria database.

ΔE_f ... -1.178 eV per atom
E_tot ... -5.428 eV per atom
Density of states at the Fermi level ... 0.472 states/eV/atom
Size of the total moment ... 0.0 μB/cell
Space-group type ... Pm-3m (221)

Cell lengths 5.793, 5.793, 5.793 Å; angles 90.00, 90.00, 90.00 degrees
Element x y z (fractional)
1 As 0.000 0.500 0.000
2 As 0.500 0.000 0.000
3 As 0.000 0.000 0.500
4 As 0.500 0.500 0.500
5 Dy 0.000 0.500 0.500
6 Dy 0.500 0.000 0.500
7 Dy 0.500 0.500 0.000
8 Mg 0.000 0.000 0.000

# 11
First-principles (PBE) data for crystalline DyMgAs2Pd5 at its relaxed geometry, as listed in the Alexandria database.

ΔE_f ... -0.722 eV per atom
E_tot ... -5.328 eV per atom
Density of states at the Fermi level ... 0.190 states/eV/atom
Size of the total moment ... 0.0 μB/cell
Space-group type ... P4/mmm (123)

Cell lengths 4.205, 4.205, 8.816 Å; angles 90.00, 90.00, 90.00 degrees
Element x y z (fractional)
1 Mg 0.000 0.000 0.500
2 Pd 0.000 0.500 0.284
3 Pd 0.500 0.000 0.716
4 Pd 0.000 0.500 0.716
5 Pd 0.500 0.000 0.284
6 Pd 0.500 0.500 0.500
7 As 0.500 0.500 0.140
8 As 0.500 0.500 0.860
9 Dy 0.000 0.000 0.000

# 12
First-principles (PBE) data for crystalline DyMgAs2Rh5 at its relaxed geometry, as listed in the Alexandria database.

ΔE_f ... -0.575 eV per atom
E_tot ... -6.381 eV per atom
Density of states at the Fermi level ... 0.626 states/eV/atom
Size of the total moment ... 0.0 μB/cell
Space-group type ... P4/mmm (123)

Cell lengths 4.204, 4.204, 8.714 Å; angles 90.00, 90.00, 90.00 degrees
Element x y z (fractional)
1 Rh 0.500 0.000 0.735
2 Rh 0.500 0.000 0.265
3 Rh 0.500 0.500 0.500
4 Rh 0.000 0.500 0.735
5 Rh 0.000 0.500 0.265
6 As 0.500 0.500 0.142
7 As 0.500 0.500 0.858
8 Dy 0.000 0.000 0.500
9 Mg 0.000 0.000 0.000